(1)
First-principles (SCAN) data for Zn5Ag4 at its PBEsol-relaxed geometry, as listed in Alexandria.

Formation energy from the elements: 0.0027 eV/atom
Excess energy over the best structure of this formula in the dataset: 0.000 eV/atom

Structure (POSCAR):
```
Zn5Ag4
1.0
-4.539 4.539 1.647
4.539 -4.539 1.647
4.539 4.539 -1.647
Zn Ag
5 4
Direct
0.000 0.000 0.000
0.333 0.333 0.667
0.333 0.667 0.000
0.667 0.333 0.000
0.667 0.667 0.333
0.000 0.322 0.322
0.000 0.678 0.678
0.322 0.000 0.322
0.678 0.000 0.678
```

(2)
First-principles (SCAN) data for Zn4Ag at its PBEsol-relaxed geometry, as listed in Alexandria.

Formation energy from the elements: 0.0147 eV/atom
Excess energy over the best structure of this formula in the dataset: 0.007 eV/atom

Structure (POSCAR):
```
Zn4Ag
1.0
8.970 0.000 0.000
0.000 2.838 0.000
-3.351 0.000 5.677
Zn Ag
8 2
Direct
0.103 0.000 0.406
0.195 0.500 0.794
0.305 0.000 0.206
0.397 0.500 0.594
0.603 0.500 0.406
0.695 0.000 0.794
0.805 0.500 0.206
0.897 0.000 0.594
0.000 0.500 0.000
0.500 0.000 0.000
```

(3)
First-principles (SCAN) data for ZnAg at its PBEsol-relaxed geometry, as listed in Alexandria.

Formation energy from the elements: -0.0178 eV/atom

Structure (POSCAR):
```
ZnAg
1.0
2.901 0.000 0.000
0.000 2.901 0.000
0.000 0.000 7.205
Zn Ag
2 2
Direct
0.250 0.250 0.114
0.750 0.750 0.886
0.250 0.250 0.639
0.750 0.750 0.361
```

(4)
First-principles (SCAN) data for ZnAg2 at its PBEsol-relaxed geometry, as listed in Alexandria.

Formation energy from the elements: -0.0188 eV/atom
Excess energy over the best structure of this formula in the dataset: 0.019 eV/atom

Structure (POSCAR):
```
ZnAg2
1.0
2.857 0.000 0.000
0.000 2.857 0.000
0.000 0.000 11.455
Zn Ag
2 4
Direct
0.000 0.000 0.000
0.500 0.500 0.500
0.000 0.000 0.340
0.000 0.000 0.660
0.500 0.500 0.160
0.500 0.500 0.840
```

(5)
First-principles (SCAN) data for Zn4Ag5 at its PBEsol-relaxed geometry, as listed in Alexandria.

Formation energy from the elements: 0.0173 eV/atom
Excess energy over the best structure of this formula in the dataset: 0.020 eV/atom

Structure (POSCAR):
```
Zn4Ag5
1.0
-4.526 4.526 1.699
4.526 -4.526 1.699
4.526 4.526 -1.699
Zn Ag
4 5
Direct
0.000 0.337 0.337
0.000 0.663 0.663
0.337 0.000 0.337
0.663 0.000 0.663
0.000 0.000 0.000
0.333 0.333 0.666
0.333 0.667 0.000
0.667 0.333 0.000
0.667 0.667 0.334
```

(6)
First-principles (SCAN) data for Zn3Ag4 at its PBEsol-relaxed geometry, as listed in Alexandria.

Formation energy from the elements: -0.0130 eV/atom
Excess energy over the best structure of this formula in the dataset: 0.000 eV/atom

Structure (POSCAR):
```
Zn3Ag4
1.0
3.079 0.000 0.000
0.000 3.079 0.000
0.000 0.000 22.600
Zn Ag
6 8
Direct
0.000 0.000 0.000
0.000 0.000 0.282
0.000 0.000 0.718
0.500 0.500 0.218
0.500 0.500 0.500
0.500 0.500 0.782
0.000 0.000 0.149
0.000 0.000 0.432
0.000 0.000 0.568
0.000 0.000 0.851
0.500 0.500 0.068
0.500 0.500 0.351
0.500 0.500 0.649
0.500 0.500 0.932
```

Total DFT energy (no corrections) for the records above, in order: -21.4467; -17.0708; -22.4590; -25.4352; -23.4157; -23.7292 eV/atom